Density functional theory data (GGA-PBE) for a relaxed LaPmDyTe3 crystal.

Summary:
total moment: 0.0 μB per formula unit
energy: -5.259 eV/atom
uncorrected formation energy: -7.8 eV/f.u.
density: 6.89 g/cm3
crystal system: monoclinic

The structure in CIF format:
```
data_LaPmDyTe3
_cell_length_a 8.6483
_cell_length_b 4.4017
_cell_length_c 10.8790
_cell_angle_alpha 90.00
_cell_angle_beta 105.20
_cell_angle_gamma 90.00
_space_group_name_H-M_alt 'P 1 21/m 1'
_space_group_IT_number 11
loop_
_space_group_symop_operation_xyz
'x,y,z'
'-x,-y,-z'
'-x,y+1/2,-z'
'x,-y+1/2,z'
loop_
_atom_site_label
_atom_site_fract_x
_atom_site_fract_y
_atom_site_fract_z
La1 0.1917 0.2500 0.2191
Pm1 0.3356 0.7500 0.9094
Dy1 0.1540 0.2500 0.6208
Te1 0.0811 0.2500 0.8882
Te2 0.2208 0.7500 0.4529
Te3 0.4850 0.7500 0.2105
```